Computed, not measured: a relaxed structure of CoBI2O at the PBE with a Hubbard U level of DFT.

Cell and atoms, written as POSCAR:
```
CoBI2O
1.0
5.7172 0.0000 0.0000
0.0000 5.7172 0.0000
0.0000 0.0000 2.9672
Co B I O
1 1 2 1
Direct
0.0000 0.0000 0.0000
0.5000 0.5000 0.5000
0.0000 0.5000 0.5000
0.5000 0.0000 0.5000
0.5000 0.5000 0.0000
```

Values from the calculation:
E_tot   -17.7 eV/f.u.
Size of the total moment   2.05 μB per cell
Theoretical density   5.814 g/cm3
DOS(E_F)   3.2 states/eV/cell